! PBE-GGA AcSmSiRh, optimized geometry; values from VASP
&SYSTEM
  ibrav = 0, nat = 4, ntyp = 4
/
ATOMIC_SPECIES
Ac 227.00 Ac.upf
Rh 102.91 Rh.upf
Si 28.09 Si.upf
Sm 150.36 Sm.upf
CELL_PARAMETERS angstrom
-2.508 -4.414 1.152
1.408 -4.464 -2.277
2.385 -3.700 2.779
ATOMIC_POSITIONS crystal
Ac 0.250 0.250 0.250
Rh 0.000 0.000 0.000
Si 0.500 0.500 0.500
Sm 0.750 0.750 0.750
! - Uncorrected energy: -23.357 eV for the cell shown
! - Spin magnetization: 0.00 μB/f.u.
! - Symmetry: F-43m (216)

---

! PBE-GGA Ac2SiSnRh6, optimized geometry; values from VASP
&SYSTEM
  ibrav = 0, nat = 10, ntyp = 4
/
ATOMIC_SPECIES
Ac 227.00 Ac.upf
Si 28.09 Si.upf
Sn 118.71 Sn.upf
Rh 102.91 Rh.upf
CELL_PARAMETERS angstrom
-5.067 1.207 3.504
-1.198 -7.109 0.819
-0.651 -3.851 6.178
ATOMIC_POSITIONS crystal
Ac 0.736 0.263 0.524
Ac 0.264 0.737 0.476
Si 0.500 0.500 0.000
Sn 0.000 0.000 0.000
Rh 0.255 0.179 0.484
Rh 0.817 0.743 0.922
Rh 0.256 0.742 0.915
Rh 0.744 0.258 0.085
Rh 0.183 0.257 0.078
Rh 0.745 0.821 0.516
! - Uncorrected energy: -67.382 eV for the cell shown
! - Spin magnetization: 0.00 μB/f.u.
! - Symmetry: P-1 (2)

---

! PBE-GGA Ac3Si2SnRh9, optimized geometry; values from VASP
&SYSTEM
  ibrav = 0, nat = 15, ntyp = 4
/
ATOMIC_SPECIES
Ac 227.00 Ac.upf
Si 28.09 Si.upf
Sn 118.71 Sn.upf
Rh 102.91 Rh.upf
CELL_PARAMETERS angstrom
6.808 0.000 0.000
-3.404 5.896 0.000
0.000 0.000 7.681
ATOMIC_POSITIONS crystal
Ac 0.333 0.667 0.669
Ac 0.000 0.000 0.000
Ac 0.667 0.333 0.331
Si 0.333 0.667 0.145
Si 0.667 0.333 0.855
Sn 0.000 0.000 0.500
Rh 0.813 0.187 0.664
Rh 0.813 0.627 0.664
Rh 0.373 0.187 0.664
Rh 0.627 0.813 0.336
Rh 0.187 0.373 0.336
Rh 0.187 0.813 0.336
Rh 0.500 0.000 0.000
Rh 0.000 0.500 0.000
Rh 0.500 0.500 0.000
! - Uncorrected energy: -101.229 eV for the cell shown
! - Spin magnetization: 0.00 μB/f.u.
! - Symmetry: P-3m1 (164)

---

| no. | raw formation energy (eV/atom) |
| --- | --- |
| 1 | -0.439 |
| 2 | -0.563 |
| 3 | -0.526 |